TbSm5Ho3: relaxed, PBE.

```
data_TbSm5Ho3
_space_group_name_H-M_alt 'C 1 2/m 1'
_space_group_IT_number 12
_cell_length_a 15.183
_cell_length_b 11.613
_cell_length_c 9.862
_cell_angle_alpha 90.00
_cell_angle_beta 129.67
_cell_angle_gamma 90.00
loop_
_space_group_symop_operation_xyz
'x,y,z'
'-x,-y,-z'
'-x,y,-z'
'x,-y,z'
'x+1/2,y+1/2,z'
'-x+1/2,-y+1/2,-z'
'-x+1/2,y+1/2,-z'
'x+1/2,-y+1/2,z'
loop_
_atom_site_label
_atom_site_type_symbol
_atom_site_fract_x
_atom_site_fract_y
_atom_site_fract_z
Tb1 Tb 0.248 0.000 0.092
Sm1 Sm 0.000 0.245 0.500
Sm2 Sm 0.146 0.248 0.242
Sm3 Sm 0.225 0.500 0.547
Sm4 Sm 0.228 0.000 0.736
Ho1 Ho 0.000 0.000 0.000
Ho2 Ho 0.000 0.500 0.500
Ho3 Ho 0.008 0.000 0.324
Ho4 Ho 0.015 0.500 0.854
```

**E above lowest polymorph**: 274.7 kJ/mol of formula units
**Magnetic moment**: 0.0 μB/f.u.
**Energy of formation from the pure elements**: 493.0 meV/atom
**N(E_F)**: 53.359 states/eV/cell